Entry 1:
This record from the Alexandria database describes an optimized crystal structure of Nd8ScTl2. The functional is PBE.

Computed properties:
The formation energy from the elements comes out at -0.6 kcal/mol of atoms.

Cell: 8.9949 15.5445 5.7931 Å, 90.00 115.39 90.00°
Last column: nearest neighbours and their distance in Å.
Space group C2/m (No. 12)
Asymmetric unit:
Nd (0.0000, 0.2164, 0.0000)  2 Tl 3.21, 1 Sc 3.36
Nd (0.1056, 0.5000, 0.7974)  1 Nd 3.14, 1 Sc 3.22, 2 Tl 3.42
Nd (0.2047, 0.1104, 0.6109)  2 Tl 3.27-3.45, 4 Nd 3.34-3.61, 1 Sc 3.64
Sc (0.0000, 0.0000, 0.0000)  4 Nd 3.22-3.36
Tl (0.0000, 0.3049, 0.5000)  8 Nd 3.21-3.45



Entry 2:
This record from the Alexandria database describes an optimized crystal structure of LiCe2YS4. The functional is PBE.

Computed properties:
Its uncorrected formation energy is -1890.9 meV per atom.

Cell: 6.8449 3.9632 6.8723 Å, 90.00 109.50 90.00°
Last column: nearest neighbours and their distance in Å.
Space group P2/m (No. 10)
Asymmetric unit:
Li (0.0000, 0.0000, 0.0000)  6 S 2.72-2.74
Ce (0.0000, 0.5000, 0.5000)  6 S 2.84
Ce (0.5000, 0.0000, 0.5000)  6 S 2.86-2.88
Y (0.5000, 0.5000, 0.0000)  6 S 2.76
S (0.2430, 0.5000, 0.2358)  2 Li 2.74, 1 Y 2.76, 3 Ce 2.84-2.86
S (0.2499, 0.0000, 0.7639)  1 Li 2.72, 2 Y 2.76, 3 Ce 2.84-2.88



Entry 3:
This record from the Alexandria database describes an optimized crystal structure of YZr2Mo. The functional is PBE.

Computed properties:
The distance to the lowest polymorph of the same formula comes out at 0.240 eV/atom. The formation energy from the elements comes out at 7.1 kcal/mol of atoms.

Cell: 6.4134 7.3390 3.7549 Å, 90.00 90.00 90.00°
Last column: nearest neighbours and their distance in Å.
Space group Cmmm (No. 65)
Asymmetric unit:
Y (0.0000, 0.0000, 0.0000)  8 Zr 3.08, 2 Mo 3.21
Zr (0.2500, 0.2500, 0.5000)  4 Y 3.08, 4 Mo 3.08, 2 Zr 3.21
Mo (0.0000, 0.5000, 0.0000)  8 Zr 3.08, 2 Y 3.21



Entry 4:
This record from the Alexandria database describes an optimized crystal structure of Cu2GePt2. The functional is PBE.

Computed properties:
The distance to the lowest polymorph of the same formula comes out at 0.137 eV/atom. The formation energy from the elements comes out at -2.6 kcal/mol of atoms.

Cell: 6.4778 6.4778 3.7126 Å, 90.00 90.00 90.00°
Last column: nearest neighbours and their distance in Å.
Space group P4/mbm (No. 127)
Asymmetric unit:
Cu (0.1472, 0.3528, 0.0000)  6 Pt 2.62-2.68, 1 Cu 2.70
Ge (0.0000, 0.0000, 0.5000)  4 Pt 2.47
Pt (0.1505, 0.6505, 0.5000)  2 Ge 2.47, 6 Cu 2.62-2.68, 1 Pt 2.76



Entry 5:
This record from the Alexandria database describes an optimized crystal structure of Nd8Ga2Pd. The functional is PBE.

Computed properties:
The distance to the lowest polymorph of the same formula comes out at 0.087 eV/atom. The formation energy from the elements comes out at -5.6 kcal/mol of atoms.

Cell: 4.9715 8.8988 14.4440 Å, 90.00 90.00 90.00°
Last column: nearest neighbours and their distance in Å.
Space group Immm (No. 71)
Asymmetric unit:
Nd (0.0000, 0.0000, 0.1282)  2 Pd 3.10, 2 Nd 3.46
Nd (0.0000, 0.2168, 0.3390)  3 Ga 3.19-3.24, 4 Nd 3.43-3.57, 1 Pd 3.43
Nd (0.0000, 0.3289, 0.0000)  1 Nd 3.05, 2 Ga 3.24
Ga (0.0000, 0.5000, 0.1984)  10 Nd 3.19-3.53
Pd (0.0000, 0.5000, 0.5000)  8 Nd 3.10-3.43



Entry 6:
This record from the Alexandria database describes an optimized crystal structure of AgOsRh. The functional is PBE.

Computed properties:
The distance to the lowest polymorph of the same formula comes out at 0.647 eV/atom. The formation energy from the elements comes out at 21.8 kcal/mol of atoms.

Cell: 5.9780 5.9780 5.9780 Å, 90.00 90.00 90.00°
Last column: nearest neighbours and their distance in Å.
Space group F-43m (No. 216)
Asymmetric unit:
Ag (0.0000, 0.0000, 0.0000)  4 Rh 2.59
Os (0.0000, 0.0000, 0.5000)  4 Rh 2.59
Rh (0.2500, 0.2500, 0.7500)  4 Os 2.59, 4 Ag 2.59



Entry 7:
This record from the Alexandria database describes an optimized crystal structure of Pm2AgBr. The functional is PBE.

Computed properties:
The distance to the lowest polymorph of the same formula comes out at 0.000 eV/atom. Its uncorrected formation energy is -626.5 meV per atom.

Cell: 4.3362 4.3362 20.9638 Å, 90.00 90.00 120.00°
Last column: nearest neighbours and their distance in Å.
Space group R-3m (No. 166, hexagonal axes)
Asymmetric unit:
Pm (0.0000, 0.0000, 0.2476)  3 Ag 3.02, 3 Br 3.08
Ag (0.0000, 0.0000, 0.5000)  6 Pm 3.02
Br (0.0000, 0.0000, 0.0000)  6 Pm 3.08



Entry 8:
This record from the Alexandria database describes an optimized crystal structure of NbI3. The functional is PBE.

Computed properties:
Its uncorrected formation energy is -84.2 meV per atom.

Cell: 10.0516 10.0516 5.9171 Å, 90.00 90.00 90.00°
Last column: nearest neighbours and their distance in Å.
Space group I-42d (No. 122)
Asymmetric unit:
Nb (0.0000, 0.0000, 0.0000)  6 I 2.87-2.96
I (0.0000, 0.0000, 0.5000)  2 Nb 2.96
I (0.1169, 0.2500, 0.1250)  2 Nb 2.87



Entry 9:
This record from the Alexandria database describes an optimized crystal structure of CaAl4Au4. The functional is PBE.

Computed properties:
The formation energy from the elements comes out at -11.7 kcal/mol of atoms.

Cell: 6.3873 6.3873 8.7079 Å, 90.00 90.00 90.00°
Last column: nearest neighbours and their distance in Å.
Space group P4_2/nmc (No. 137, origin choice 2)
Asymmetric unit:
Ca (0.2500, 0.7500, 0.2500)  4 Au 3.21
Al (0.0172, 0.2500, 0.1456)  5 Au 2.59-2.70
Au (0.0294, 0.2500, 0.4435)  5 Al 2.59-2.70, 1 Au 2.82



Entry 10:
This record from the Alexandria database describes an optimized crystal structure of Ho5In2IrRu2. The functional is PBE.

Computed properties:
The formation energy from the elements comes out at -10.1 kcal/mol of atoms.

Cell: 11.6335 11.6335 3.4598 Å, 90.00 90.00 90.00°
Last column: nearest neighbours and their distance in Å.
Space group P4/mbm (No. 127)
Asymmetric unit:
Ho (0.0000, 0.5000, 0.0000)  4 Ru 2.84
Ho (0.0624, 0.1958, 0.0000)  2 Ru 2.74, 2 Ir 2.95
In (0.1821, 0.6821, 0.5000)  1 Ru 2.98
Ir (0.0000, 0.0000, 0.5000)  8 Ho 2.95
Ru (0.1368, 0.3631, 0.5000)  6 Ho 2.74-2.84, 1 In 2.98



Entry 11:
This record from the Alexandria database describes an optimized crystal structure of CaNi3. The functional is PBE.

Computed properties:
The formation energy from the elements comes out at 5.2 kcal/mol of atoms.

Cell: 3.9359 3.9359 7.4571 Å, 90.00 90.00 90.00°
Last column: nearest neighbours and their distance in Å.
Space group I4/mmm (No. 139)
Asymmetric unit:
Ca (0.0000, 0.0000, 0.0000)  12 Ni 2.71-2.78
Ni (0.0000, 0.0000, 0.5000)  8 Ni 2.71, 4 Ca 2.78
Ni (0.0000, 0.5000, 0.2500)  8 Ni 2.71-2.78, 4 Ca 2.71



Entry 12:
This record from the Alexandria database describes an optimized crystal structure of Mg2CdTc. The functional is PBE.

Computed properties:
The formation energy from the elements comes out at 12.7 kcal/mol of atoms.

Cell: 7.4197 7.4197 5.7160 Å, 90.00 90.00 90.00°
Last column: nearest neighbours and their distance in Å.
Space group I-42d (No. 122)
Asymmetric unit:
Mg (0.2425, 0.2500, 0.1250)  2 Tc 2.68, 2 Cd 2.76, 2 Mg 2.86
Cd (0.0000, 0.0000, 0.5000)  4 Mg 2.76, 2 Tc 2.86
Tc (0.0000, 0.0000, 0.0000)  4 Mg 2.68, 2 Cd 2.86



Entry 13:
This record from the Alexandria database describes an optimized crystal structure of CeCuTe. The functional is PBE.

Computed properties:
Its uncorrected formation energy is -233.0 meV per atom.

Cell: 14.9493 3.7678 5.7549 Å, 90.00 106.06 90.00°
Last column: nearest neighbours and their distance in Å.
Space group C2/m (No. 12)
Asymmetric unit:
Ce (0.0692, 0.0000, 0.3813)  1 Ce 2.78, 2 Te 3.01-3.08, 3 Cu 3.05-3.10
Cu (0.2264, 0.5000, 0.3262)  2 Cu 2.70, 3 Te 2.84-2.94
Te (0.1387, 0.0000, 0.9375)  3 Cu 2.84-2.94, 3 Ce 3.01-3.14



Entry 14:
This record from the Alexandria database describes an optimized crystal structure of Sr2Mg. The functional is PBE.

Computed properties:
The formation energy from the elements comes out at 0.1 kcal/mol of atoms.

Cell: 9.7537 9.7537 4.8668 Å, 90.00 90.00 120.00°
Last column: nearest neighbours and their distance in Å.
Space group P-62m (No. 189)
Asymmetric unit:
Sr (0.0000, 0.4010, 0.0000)  5 Mg 3.84-3.91, 6 Sr 4.11-4.21
Sr (0.0000, 0.7407, 0.5000)  4 Mg 3.51-3.67
Mg (0.0000, 0.0000, 0.0000)  9 Sr 3.51-3.91
Mg (0.3333, 0.6667, 0.5000)  9 Sr 3.67-3.84



Entry 15:
This record from the Alexandria database describes an optimized crystal structure of MnTeCl2. The functional is PBE.

Computed properties:
The distance to the lowest polymorph of the same formula comes out at 0.557 eV/atom. Its uncorrected formation energy is -44.6 meV per atom.

Cell: 3.2767 4.6474 5.9389 Å, 90.00 90.00 90.00°
Last column: nearest neighbours and their distance in Å.
Space group Pmmm (No. 47)
Asymmetric unit:
Mn (0.0000, 0.0000, 0.0000)  4 Cl 2.84
Te (0.5000, 0.0000, 0.5000)  4 Cl 2.84
Cl (0.0000, 0.5000, 0.5000)  4 Te 2.84
Cl (0.5000, 0.5000, 0.0000)  4 Mn 2.84



Entry 16:
This record from the Alexandria database describes an optimized crystal structure of Al2CdRh. The functional is PBE.

Computed properties:
The formation energy from the elements comes out at -7.4 kcal/mol of atoms.

Cell: 3.0130 3.0130 25.9382 Å, 90.00 90.00 120.00°
Last column: nearest neighbours and their distance in Å.
Space group R-3m (No. 166, hexagonal axes)
Asymmetric unit:
Al (0.0000, 0.0000, 0.2382)  3 Rh 2.54
Cd (0.0000, 0.0000, 0.0000)  6 Cd 3.01, 6 Al 3.02
Rh (0.0000, 0.0000, 0.5000)  6 Al 2.54



Entry 17:
This record from the Alexandria database describes an optimized crystal structure of Zn2Hg2Pt. The functional is PBE.

Computed properties:
The distance to the lowest polymorph of the same formula comes out at 0.155 eV/atom. The formation energy from the elements comes out at 4.9 kcal/mol of atoms.

Cell: 7.4037 7.4037 3.3869 Å, 90.00 90.00 90.00°
Last column: nearest neighbours and their distance in Å.
Space group P4/mbm (No. 127)
Asymmetric unit:
Zn (0.1592, 0.3408, 0.0000)  6 Hg 2.66-2.82
Hg (0.1447, 0.6447, 0.5000)  6 Zn 2.66-2.82, 2 Pt 2.84
Pt (0.0000, 0.0000, 0.5000)  4 Hg 2.84



Entry 18:
This record from the Alexandria database describes an optimized crystal structure of CsSr2NbP. The functional is PBE.

Computed properties:
The formation energy from the elements comes out at 37.8 kcal/mol of atoms.

Cell: 6.3111 6.3111 5.4459 Å, 90.00 90.00 90.00°
Last column: nearest neighbours and their distance in Å.
Space group P4/mmm (No. 123)
Asymmetric unit:
Cs (0.0000, 0.0000, 0.0000)  2 P 2.72
Sr (0.0000, 0.5000, 0.0000)  2 Cs 3.16
Nb (0.5000, 0.5000, 0.5000)  8 Sr 4.17, 4 P 4.46
P (0.0000, 0.0000, 0.5000)  2 Cs 2.72



Entry 19:
This record from the Alexandria database describes an optimized crystal structure of K5RbNa3. The functional is PBE.

Computed properties:
The formation energy from the elements comes out at 0.6 kcal/mol of atoms.

Cell: 12.0909 12.0909 8.7187 Å, 90.00 90.00 120.00°
Last column: nearest neighbours and their distance in Å.
Space group P6_3/mcm (No. 193)
Asymmetric unit:
K (0.0000, 0.3376, 0.2500)  5 Na 3.96-4.36
K (0.3333, 0.6667, 0.0000)  8 K 4.36-4.56, 6 Na 4.57
Rb (0.0000, 0.0000, 0.0000)  2 Rb 4.36, 6 Na 4.60, 6 K 4.63
Na (0.0000, 0.3349, 0.7500)  5 K 3.96-4.36



Entry 20:
This record from the Alexandria database describes an optimized crystal structure of LaWSeBr2. The functional is PBE.

Computed properties:
The distance to the lowest polymorph of the same formula comes out at 0.000 eV/atom. Its uncorrected formation energy is -127.7 meV per atom.

Cell: 5.1150 5.1150 4.9415 Å, 90.00 90.00 90.00°
Last column: nearest neighbours and their distance in Å.
Space group P4/mmm (No. 123)
Asymmetric unit:
La (0.0000, 0.0000, 0.0000)  8 Br 3.56, 4 Se 3.62
W (0.5000, 0.5000, 0.5000)  2 Se 2.47, 4 Br 2.56
Se (0.5000, 0.5000, 0.0000)  2 W 2.47
Br (0.0000, 0.5000, 0.5000)  2 W 2.56



M_tot for the records above, in order: 0.00, 2.30, 0.00, 0.00, 0.00, 0.00, 0.00, 8.00, 0.00, 0.00, 1.97, 3.85, 3.94, 0.00, 4.76, 0.00, 0.00, 4.02, 0.00, 1.16 μB/cell
Theoretical density for the records above, in order: 7.30, 4.77, 6.90, 12.58, 7.28, 12.47, 6.97, 5.26, 8.75, 10.27, 6.21, 5.47, 7.06, 2.48, 4.65, 6.58, 13.01, 3.31, 1.05, 7.21 Mg/m³